[1]
Below is a geometry-optimized ZnHg2Ru structure, with properties calculated at the PBE level.

The density of states at the Fermi level comes out at 1.09 states/eV/f.u. As for the raw total energy: -35.79 eV per cell. The calculation puts the theoretical density at 11.96 g/cm3. The formation energy is 2.21 eV/f.u. For the spin magnetization, the calculation gives 0.8 μB/f.u.

The space group is I-42d (No. 122) and the conventional cell measures 4.009, 4.009 and 19.606 Å, with angles of 90.00, 90.00 and 90.00 degrees. Symmetry generates all atoms from Zn at (0.000, 0.000, 0.000), Hg at (0.246, 0.250, 0.625) and Ru at (0.000, 0.000, 0.500).

***

[2]
Below is a geometry-optimized K7Na2Hg2 structure, with properties calculated at the PBE level.

For the energy above the lowest structure with this stoichiometry, the calculation gives 0.0121 eV per atom. The density of states at the Fermi level comes out at 6.76 states/eV/f.u. As for the raw total energy: -22.29 eV per cell. The calculation puts the theoretical density at 1.85 g/cm3. The formation energy is -0.22 eV/f.u. For the spin magnetization, the calculation gives 0.0 μB/f.u.

The space group is C2/m (No. 12) and the conventional cell measures 11.185, 16.381 and 7.209 Å, with angles of 90.00, 101.50 and 90.00 degrees. Symmetry generates all atoms from K at (0.000, 0.000, 0.000), K at (0.171, 0.207, 0.234), K at (0.177, 0.500, 0.208), Na at (0.000, 0.374, 0.500) and Hg at (0.194, 0.500, 0.724).